(1)
Density functional theory data (PBE) for a relaxed structure of GdCuPtPb.

a b c (Å): 4.896 4.896 4.896
angles (deg): 60.00 60.00 60.00
Atoms (fractional coordinates):
Gd 0.000 0.000 0.000
Cu 0.750 0.750 0.750
Pt 0.250 0.250 0.250
Pb 0.500 0.500 0.500

Output
total magnetization = 7.2 Bohr magnetons per cell
uncorrected energy = -7.46 eV/atom
energy of formation from the pure elements = -0.483 eV per atom

=====

(2)
Density functional theory data (PBE) for a relaxed structure of GdPuCuPb.

a b c (Å): 5.278 5.278 5.278
angles (deg): 60.00 60.00 60.00
Atoms (fractional coordinates):
Gd 0.000 0.000 0.000
Pu 0.500 0.500 0.500
Cu 0.750 0.750 0.750
Pb 0.250 0.250 0.250

Output
total magnetization = 0.8 Bohr magnetons per cell
uncorrected energy = -9.15 eV/atom
energy of formation from the pure elements = -0.097 eV per atom